Crystalline Re2IOF at its relaxed geometry, computed with GGA-PBE.

As for the total energy: -6.288 eV per atom. The spin magnetization is 0.00 μB/f.u. Its formation energy without anion corrections is 0.368 eV per atom. The crystal system is tetragonal. Its density of states at the Fermi level is 0.753 states/eV/atom.

It has space group P4/mmm (No. 123), with a = 3.9571 Å, b = 3.9571 Å, c = 4.9045 Å, α = 90.00°, β = 90.00° and γ = 90.00°. Symmetry generates all atoms from Re at (0.0000, 0.5000, 0.0000), I at (0.0000, 0.0000, 0.5000), O at (0.5000, 0.5000, 0.0000) and F at (0.5000, 0.5000, 0.5000).

***

Crystalline NdYSe at its relaxed geometry, computed with GGA-PBE.

As for the total energy: -6.028 eV per atom. The spin magnetization is 0.00 μB/f.u. Its formation energy without anion corrections is -1.123 eV per atom. The crystal system is trigonal. Its density of states at the Fermi level is 0.334 states/eV/atom.

It has space group P3m1 (No. 156), with a = 3.9364 Å, b = 3.9364 Å, c = 6.6782 Å, α = 90.00°, β = 90.00° and γ = 120.00°. Symmetry generates all atoms from Nd at (0.0000, 0.0000, 0.0000), Y at (0.3333, 0.6667, 0.5519) and Se at (0.6667, 0.3333, 0.2878).

***

Crystalline Na3Ga5F12 at its relaxed geometry, computed with GGA-PBE.

As for the total energy: -4.375 eV per atom. The spin magnetization is 0.00 μB/f.u. Its formation energy without anion corrections is -2.298 eV per atom. The crystal system is cubic. Its density of states at the Fermi level is 0.000 states/eV/atom.

It has space group Ia-3d (No. 230), with a = 13.6336 Å, b = 13.6336 Å, c = 13.6336 Å, α = 90.00°, β = 90.00° and γ = 90.00°. Symmetry generates all atoms from Na at (0.0000, 0.2500, 0.1250), Ga at (0.0000, 0.0000, 0.0000), Ga at (0.0000, 0.2500, 0.3750) and F at (0.0335, 0.0684, 0.6203).

***

Crystalline Mn3CdPt at its relaxed geometry, computed with GGA-PBE.

As for the total energy: -6.234 eV per atom. The value obtained for the energy of formation is 63.5 kJ/mol of atoms. The spin magnetization is 13.44 μB/f.u. The crystal system is cubic. Its density of states at the Fermi level is 0.720 states/eV/atom.

It has space group Pm-3m (No. 221), with a = 4.9071 Å, b = 4.9071 Å, c = 4.9071 Å, α = 90.00°, β = 90.00° and γ = 90.00°. Symmetry generates all atoms from Mn at (0.0000, 0.0000, 0.5000), Cd at (0.5000, 0.5000, 0.5000) and Pt at (0.0000, 0.0000, 0.0000).

***

Crystalline Nd5Tl6Zn at its relaxed geometry, computed with GGA-PBE.

As for the total energy: -3.585 eV per atom. The value obtained for the energy of formation is -29.8 kJ/mol of atoms. The spin magnetization is 0.00 μB/f.u. The crystal system is orthorhombic. Its density of states at the Fermi level is 0.801 states/eV/atom.

It has space group Immm (No. 71), with a = 4.9503 Å, b = 9.0846 Å, c = 15.4090 Å, α = 90.00°, β = 90.00° and γ = 90.00°. Symmetry generates all atoms from Nd at (0.0000, 0.0000, 0.0000), Nd at (0.0000, 0.0000, 0.3625), Nd at (0.0000, 0.5000, 0.3228), Tl at (0.0000, 0.2456, 0.1690), Tl at (0.0000, 0.2630, 0.5000) and Zn at (0.0000, 0.5000, 0.0000).

***

Crystalline LaI2Br at its relaxed geometry, computed with GGA-PBE.

As for the total energy: -4.061 eV per atom. The spin magnetization is 0.00 μB/f.u. Its formation energy without anion corrections is -1.636 eV per atom. The crystal system is orthorhombic. Its density of states at the Fermi level is 0.000 states/eV/atom.

It has space group Imm2 (No. 44), with a = 4.1996 Å, b = 11.5643 Å, c = 7.4965 Å, α = 90.00°, β = 90.00° and γ = 90.00°. Symmetry generates all atoms from La at (0.0000, 0.0000, 0.0000), I at (0.0000, 0.3227, 0.6727) and Br at (0.0000, 0.5000, 0.2206).

***

Crystalline CuMo2H2 at its relaxed geometry, computed with GGA-PBE.

As for the total energy: -6.340 eV per atom. The spin magnetization is 0.00 μB/f.u. The crystal system is tetragonal. Its density of states at the Fermi level is 0.496 states/eV/atom.

It has space group I4/mmm (No. 139), with a = 3.3792 Å, b = 3.3792 Å, c = 8.7331 Å, α = 90.00°, β = 90.00° and γ = 90.00°. Symmetry generates all atoms from Cu at (0.0000, 0.0000, 0.0000), Mo at (0.0000, 0.0000, 0.3484) and H at (0.0000, 0.5000, 0.2500).

***

Crystalline LiY4Te4 at its relaxed geometry, computed with GGA-PBE.

As for the total energy: -5.577 eV per atom. The spin magnetization is 0.00 μB/f.u. Its formation energy without anion corrections is -1.095 eV per atom. The crystal system is tetragonal. Its density of states at the Fermi level is 0.668 states/eV/atom.

It has space group P4_2/nmc (No. 137, origin choice 2), with a = 9.0667 Å, b = 9.0667 Å, c = 6.0641 Å, α = 90.00°, β = 90.00° and γ = 90.00°. Symmetry generates all atoms from Li at (0.2500, 0.7500, 0.2500), Y at (0.0535, 0.2500, 0.9996) and Te at (0.0275, 0.7500, 0.5077).